## RbSrCo2Ru (PBE)

Data for crystalline RbSrCo2Ru at its relaxed geometry.

## Properties
E ... -15.60 eV per cell

Cell lengths 4.907, 4.907, 5.002 Å; angles 90.00, 90.00, 90.00 degrees
Space group P4/mmm (No. 123)
Asymmetric unit:
Rb: 0.000 0.000 0.000 [1 per cell]
Sr: 0.500 0.500 0.500 [1 per cell]
Co: 0.000 0.500 0.000 [2 per cell]
Ru: 0.000 0.000 0.500 [1 per cell]

## Y15ErTm4 (PBE)

Data for crystalline Y15ErTm4 at its relaxed geometry.

## Properties
E ... -118.87 eV per cell

Cell lengths 5.021, 5.021, 25.117 Å; angles 90.00, 90.00, 90.00 degrees
Space group P4/mmm (No. 123)
Asymmetric unit:
Y: 0.000 0.000 0.000 [1 per cell]
Y: 0.000 0.000 0.200 [2 per cell]
Y: 0.000 0.000 0.400 [2 per cell]
Y: 0.000 0.500 0.100 [4 per cell]
Y: 0.000 0.500 0.300 [4 per cell]
Y: 0.000 0.500 0.500 [2 per cell]
Er: 0.500 0.500 0.000 [1 per cell]
Tm: 0.500 0.500 0.200 [2 per cell]
Tm: 0.500 0.500 0.400 [2 per cell]

## Ba3Ac2Tl4 (PBE)

Data for crystalline Ba3Ac2Tl4 at its relaxed geometry.

## Properties
E ... -52.22 eV per cell

Cell lengths 10.349, 5.981, 11.356 Å; angles 90.00, 90.07, 90.00 degrees
Space group C2/m (No. 12)
Asymmetric unit:
Ba: 0.000 0.000 0.000 [2 per cell]
Ba: 0.167 0.500 0.416 [4 per cell]
Ac: 0.167 0.500 0.800 [4 per cell]
Tl: 0.000 0.000 0.339 [4 per cell]
Tl: 0.167 0.500 0.107 [4 per cell]

## AcMgZn2Pd5 (PBE)

Data for crystalline AcMgZn2Pd5 at its relaxed geometry.

## Properties
E ... -38.58 eV per cell

Cell lengths 4.756, 4.756, 7.498 Å; angles 90.00, 90.00, 90.00 degrees
Space group P4/mmm (No. 123)
Asymmetric unit:
Ac: 0.000 0.000 0.000 [1 per cell]
Mg: 0.000 0.000 0.500 [1 per cell]
Zn: 0.500 0.500 0.342 [2 per cell]
Pd: 0.000 0.500 0.275 [4 per cell]
Pd: 0.500 0.500 0.000 [1 per cell]

## NbTl3Cr (PBE)

Data for crystalline NbTl3Cr at its relaxed geometry.

## Properties
E ... -19.03 eV per cell
E above lowest polymorph ... 1.63 eV per formula unit

Cell lengths 5.432, 5.432, 5.432 Å; angles 90.00, 90.00, 90.00 degrees
Space group Pm-3m (No. 221)
Asymmetric unit:
Nb: 0.000 0.000 0.000 [1 per cell]
Tl: 0.000 0.000 0.500 [3 per cell]
Cr: 0.500 0.500 0.500 [1 per cell]

## Tb8SmTh4 (PBE)

Data for crystalline Tb8SmTh4 at its relaxed geometry.

## Properties
E ... -206.04 eV per cell

Cell lengths 7.3966, 7.3966, 26.8067 Å; angles 90.00, 90.00, 120.00 degrees
Space group R-3m (No. 166, hexagonal axes)
Asymmetric unit:
Tb: 0.0000 0.0000 0.2215 [6 per cell]
Tb: 0.0400 0.5200 0.7698 [18 per cell]
Sm: 0.0000 0.0000 0.5000 [3 per cell]
Th: 0.0000 0.0000 0.0000 [3 per cell]
Th: 0.0000 0.5000 0.0000 [9 per cell]

## MgUPt4 (PBE)

Data for crystalline MgUPt4 at its relaxed geometry.

## Properties
E ... -81.47 eV per cell

Cell lengths 9.606, 3.436, 7.020 Å; angles 90.00, 113.26, 90.00 degrees
Space group C2/m (No. 12)
Asymmetric unit:
Mg: 0.000 0.000 0.000 [2 per cell]
U: 0.000 0.000 0.500 [2 per cell]
Pt: 0.155 0.500 0.834 [4 per cell]
Pt: 0.169 0.500 0.331 [4 per cell]

## Ce2InPdSe5 (PBE)

Data for crystalline Ce2InPdSe5 at its relaxed geometry.

## Properties
E ... -190.67 eV per cell

Cell lengths 4.170, 18.079, 12.115 Å; angles 90.00, 90.00, 90.00 degrees
Space group Cmc2_1 (No. 36)
Asymmetric unit:
Ce: 0.000 0.120 0.000 [4 per cell]
Ce: 0.000 0.121 0.374 [4 per cell]
In: 0.000 0.410 0.175 [4 per cell]
Pd: 0.000 0.257 0.813 [4 per cell]
Se: 0.000 0.033 0.777 [4 per cell]
Se: 0.000 0.304 0.024 [4 per cell]
Se: 0.000 0.313 0.359 [4 per cell]
Se: 0.000 0.366 0.687 [4 per cell]
Se: 0.000 0.493 0.984 [4 per cell]